No. 1
The following is a DFT calculation (PBE) of a relaxed structure of CsPa2CuN5.

Cell and atoms, written as POSCAR:
```
CsPa2CuN5
1.0
-4.987 0.606 4.394
2.208 -5.395 3.250
4.897 5.935 -0.328
Pa N Cu Cs
4 10 2 2
Cartesian
-3.026 -0.615 3.662
-2.504 -3.242 5.800
-0.275 -1.547 1.844
0.247 -4.174 3.982
4.875 1.865 1.411
-0.343 -3.576 6.376
0.548 3.608 3.990
-2.757 -0.720 5.905
2.962 0.751 4.461
1.571 -2.462 3.325
0.000 0.000 0.000
-0.843 0.394 2.854
-1.389 -2.395 3.822
2.461 4.722 0.940
2.858 -0.927 3.372
-0.740 2.073 3.944
0.364 -0.624 5.569
1.754 1.770 1.747
```

Summary:
Volume (Å³/atom): 15.1
Space group: I4/mcm, No. 140
Formation energy from raw total energies (eV/atom): -0.496

***

No. 2
The following is a DFT calculation (PBE) of a relaxed structure of NaAcTb2.

Cell and atoms, written as POSCAR:
```
NaAcTb2
1.0
-2.356 -2.424 1.386
0.992 -3.495 0.391
3.929 0.612 12.561
Tb Ac Na
2 1 1
Cartesian
2.733 -0.093 9.297
-0.169 -5.214 5.041
1.282 -2.653 7.169
0.000 0.000 0.000
```

Summary:
Volume (Å³/atom): 37.6
Formation energy from the elements (eV/f.u.): 0.924
Space group: R-3m, No. 166

***

No. 3
The following is a DFT calculation (PBE) of a relaxed structure of Dy6Y3Th2Sc.

Cell and atoms, written as POSCAR:
```
Dy6Y3Th2Sc
1.0
6.111 -0.001 -0.001
-3.054 5.292 -0.001
-1.019 -1.764 11.580
Dy Y Th Sc
6 3 2 1
Cartesian
2.032 -0.002 2.841
-1.017 1.759 2.841
2.036 3.526 2.845
0.001 0.002 8.733
3.055 1.769 8.736
0.006 3.530 8.736
4.076 -0.002 5.789
-2.039 3.530 5.789
1.019 1.764 5.789
3.053 1.765 -0.001
0.003 3.527 -0.001
0.000 0.000 0.000
```

Summary:
Volume (Å³/atom): 31.2
Formation energy from the elements (eV/f.u.): 0.359
Space group: C2/m, No. 12

***

No. 4
The following is a DFT calculation (PBE) of a relaxed structure of Hf8ZnS2.

Cell and atoms, written as POSCAR:
```
Hf8ZnS2
1.0
5.079 0.096 0.073
0.156 7.304 0.777
0.156 2.715 6.825
Zn Hf S
1 8 2
Cartesian
0.000 0.000 0.000
3.867 3.310 4.434
1.334 3.689 2.799
4.057 6.426 4.876
1.523 4.953 5.682
3.867 5.162 1.994
1.463 8.023 6.087
1.523 6.806 3.241
3.928 2.093 1.588
3.956 8.397 6.372
1.434 1.718 1.304
```

Summary:
Volume (Å³/atom): 22.0
Space group: C2/m, No. 12
Formation energy from raw total energies (eV/atom): -0.200

***

No. 5
The following is a DFT calculation (PBE) of a relaxed structure of SrNdIn.

Cell and atoms, written as POSCAR:
```
SrNdIn
1.0
5.648 -0.001 0.000
-2.824 4.892 0.000
0.000 0.000 7.276
Sr Nd In
2 2 2
Cartesian
-1.412 2.446 3.638
-1.412 2.446 0.000
1.414 4.075 1.819
1.411 0.816 5.457
1.412 4.076 5.457
1.413 0.815 1.819
```

Summary:
Volume (Å³/atom): 33.5
Formation energy from the elements (eV/f.u.): -1.013
Space group: P6_3/mmc, No. 194
Relative energy among the computed polymorphs (meV/atom): 0

***

No. 6
The following is a DFT calculation (PBE) of a relaxed structure of CsGa3I.

Cell and atoms, written as POSCAR:
```
CsGa3I
1.0
6.114 0.000 0.000
0.000 6.114 0.000
0.000 0.000 6.114
Ga Cs I
3 1 1
Cartesian
0.000 0.000 3.057
3.057 0.000 0.000
0.000 3.057 0.000
3.057 3.057 3.057
0.000 0.000 0.000
```

Summary:
Volume (Å³/atom): 45.7
Space group: Pm-3m, No. 221
Formation energy from raw total energies (eV/atom): 0.290
Relative energy among the computed polymorphs (meV/atom): 0

***

No. 7
The following is a DFT calculation (PBE) of a relaxed structure of PmLu2Rh.

Cell and atoms, written as POSCAR:
```
PmLu2Rh
1.0
4.593 0.000 0.000
2.297 3.978 0.000
2.297 1.326 5.875
Rh Lu Pm
1 2 1
Cartesian
4.593 2.652 2.937
6.890 3.978 3.815
2.297 1.326 2.059
0.000 0.000 0.000
```

Summary:
Volume (Å³/atom): 26.8
Formation energy from the elements (eV/f.u.): -0.929
Space group: R-3m, No. 166
Relative energy among the computed polymorphs (meV/atom): 256

***

No. 8
The following is a DFT calculation (PBE) of a relaxed structure of Sm2ZrGe4Pt3.

Cell and atoms, written as POSCAR:
```
Sm2ZrGe4Pt3
1.0
4.268 0.000 0.000
0.000 4.268 0.000
0.000 0.000 11.012
Ge Sm Zr Pt
4 2 1 3
Cartesian
0.000 2.134 3.844
2.134 2.134 0.000
0.000 0.000 0.000
2.134 0.000 7.168
2.134 0.000 2.594
0.000 2.134 8.417
2.134 2.134 5.506
0.000 2.134 1.357
2.134 0.000 9.654
0.000 0.000 5.506
```

Summary:
Volume (Å³/atom): 20.1
Formation energy from the elements (eV/f.u.): -8.998
Space group: P-4m2, No. 115

***

No. 9
The following is a DFT calculation (PBE) of a relaxed structure of La6HAu3.

Cell and atoms, written as POSCAR:
```
La6HAu3
1.0
-0.619 -4.887 2.299
6.327 2.938 7.948
-10.211 2.118 1.754
La Au H
12 6 2
Cartesian
-6.253 2.497 5.545
-4.909 0.748 2.188
4.654 -0.295 8.963
-4.182 0.143 7.518
-0.196 1.015 4.018
2.585 2.026 6.925
1.875 -1.344 5.994
-9.031 1.454 2.572
-1.494 2.704 7.259
-6.963 -0.875 4.615
0.531 0.405 9.351
-2.884 -1.547 4.277
-4.578 3.467 8.040
-3.323 1.737 4.710
-1.054 -0.579 6.826
-1.931 0.021 1.428
0.201 -2.302 3.493
-2.446 1.144 10.104
2.419 -0.389 8.117
-6.792 1.583 3.402
```

Summary:
Volume (Å³/atom): 27.9
Space group: Cmc2_1, No. 36

***

No. 10
The following is a DFT calculation (PBE) of a relaxed structure of BaPrCuO4.

Cell and atoms, written as POSCAR:
```
BaPrCuO4
1.0
-2.610 -1.986 2.150
2.589 -2.909 0.456
2.274 5.307 4.086
Cu O Ba Pr
1 4 1 1
Cartesian
2.236 0.390 6.650
0.896 1.788 6.315
0.823 1.039 1.958
3.495 1.326 5.468
1.537 -0.492 4.987
0.640 -1.625 2.852
1.649 2.084 3.927
```

Summary:
Volume (Å³/atom): 14.3
Space group: I4mm, No. 107
Formation energy from raw total energies (eV/atom): -2.110

***

No. 11
The following is a DFT calculation (PBE) of a relaxed structure of Ca2TmZn3.

Cell and atoms, written as POSCAR:
```
Ca2TmZn3
1.0
-3.166 2.925 -2.772
-7.582 -1.589 2.244
0.400 5.203 5.034
Zn Ca Tm
6 4 2
Cartesian
-4.903 5.891 2.341
-1.488 2.687 -0.201
-5.228 3.458 4.882
-1.278 5.442 2.463
-5.119 3.082 -0.376
-5.444 0.649 2.165
0.200 2.602 2.517
-3.375 3.051 2.337
0.000 0.000 0.000
-6.972 3.489 2.169
-3.585 0.444 -0.174
-7.162 0.893 -0.354
```

Summary:
Volume (Å³/atom): 23.7
Formation energy from the elements (eV/f.u.): -1.647
Space group: Cmmm, No. 65

***

No. 12
The following is a DFT calculation (PBE) of a relaxed structure of MgB3Ir3.

Cell and atoms, written as POSCAR:
```
MgB3Ir3
1.0
-0.422 -3.643 -0.413
6.926 -1.014 1.860
-5.151 0.021 5.093
B Ir Mg
6 6 2
Cartesian
3.627 -3.348 1.091
0.609 -1.462 4.031
-2.275 -1.288 5.449
3.380 -3.681 4.283
-2.028 -0.955 2.256
0.744 -3.175 2.509
1.596 -3.054 0.571
1.285 -3.467 4.536
-0.243 -1.583 5.969
4.869 -3.683 2.777
-3.517 -0.953 3.762
0.067 -1.170 2.004
-1.442 -3.057 3.705
2.795 -1.580 2.834
```

Summary:
Volume (Å³/atom): 12.0
Formation energy from the elements (eV/f.u.): -1.612
Space group: P6_3/m, No. 176

***

| no. | electronic total energy (eV for the cell shown) |
| --- | --- |
| 1 | -140.1 |
| 2 | -13.8 |
| 3 | -67.8 |
| 4 | -91.4 |
| 5 | -20.4 |
| 6 | -10.0 |
| 7 | -22.1 |
| 8 | -63.6 |
| 9 | -96.0 |
| 10 | -45.4 |
| 11 | -27.9 |
| 12 | -99.6 |